[1]
A relaxed structure of PuCd2Pd8, computed with PBE.

Cell and atoms, written as POSCAR:
```
PuCd2Pd8
1.0
-0.514 -3.848 -2.152
6.319 -1.811 1.731
-3.851 -2.334 5.093
Pu Cd Pd
1 2 8
Direct
0.000 0.958 0.958
0.500 0.608 0.312
0.500 0.312 0.608
0.500 0.255 0.007
0.500 0.007 0.255
0.000 0.294 0.294
0.000 0.451 0.950
0.000 0.950 0.451
0.000 0.622 0.622
0.500 0.913 0.664
0.500 0.664 0.913
```

Values from the calculation:
- total magnetization (μB/atom) = 0.421
- energy above the lowest structure with this stoichiometry (eV/f.u.) = 1.23
- energy of formation (kJ per mole of atoms) = -25.04



[2]
A relaxed structure of Pu2CdPd4, computed with PBE.

Cell and atoms, written as POSCAR:
```
Pu2CdPd4
1.0
-0.686 -3.237 2.380
-1.192 -2.142 -3.256
9.529 -0.095 -0.874
Pu Cd Pd
2 1 4
Direct
0.621 0.621 0.242
0.379 0.379 0.758
0.000 0.000 0.000
0.147 0.147 0.293
0.853 0.853 0.707
0.750 0.250 0.500
0.250 0.750 0.500
```

Values from the calculation:
- total magnetization (μB/atom) = 1.573
- energy of formation (kJ per mole of atoms) = -37.02